The following is a GGA+U calculation of a relaxed structure of Ba2CoNiO4, from Alexandria.

Structure (POSCAR):
```
Ba2CoNiO4
1.0
4.768 0.000 0.000
2.384 5.930 0.000
2.384 0.000 9.586
Co Ba Ni O
2 4 2 8
Direct
0.250 0.500 0.500
0.500 0.000 0.000
0.177 0.000 0.647
0.823 0.000 0.353
0.573 0.500 0.853
0.927 0.500 0.147
0.000 0.000 0.000
0.750 0.500 0.500
0.918 0.776 0.909
0.577 0.276 0.591
0.148 0.276 0.409
0.444 0.724 0.409
0.306 0.776 0.091
0.173 0.224 0.909
0.832 0.724 0.591
0.602 0.224 0.091
```

Computed properties:
total energy	-44.050	eV per formula unit
space group	Fddd (70)